Record 1
Rb2Sn3HgPb4 after structural relaxation, computed with PBE.

Computed properties:
The calculation puts the formation energy from the elements at -0.100 eV/atom. The calculation puts the volume at 36.6 Å³/atom. The magnetization is 0.000 μB per cell.

Lattice parameters (Å, degrees): 5.2626 5.2626 13.2182 90.00 90.00 90.00
Space group P-4m2 (No. 115)
Unique sites:
Rb 0.0000 0.5000 0.2448 (multiplicity 2)
Sn 0.0000 0.0000 0.0000 (multiplicity 1)
Sn 0.0000 0.5000 0.6316 (multiplicity 2)
Hg 0.5000 0.5000 0.0000 (multiplicity 1)
Pb 0.0000 0.0000 0.5000 (multiplicity 1)
Pb 0.0000 0.5000 0.8727 (multiplicity 2)
Pb 0.5000 0.5000 0.5000 (multiplicity 1)

Record 2
LiAlTeI2 after structural relaxation, computed with PBE.

Computed properties:
The calculation puts the volume at 35.4 Å³/atom. The value obtained for the energy above the most stable polymorph in this dataset is 0 meV/atom. The magnetization is 0.000 μB per cell. As for the uncorrected formation energy: -0.2869 eV per atom.

Lattice parameters (Å, degrees): 5.7311 5.7311 5.3854 90.00 90.00 90.00
Space group P4/mmm (No. 123)
Unique sites:
Li 0.0000 0.0000 0.0000 (multiplicity 1)
Al 0.5000 0.5000 0.5000 (multiplicity 1)
Te 0.5000 0.5000 0.0000 (multiplicity 1)
I 0.0000 0.5000 0.5000 (multiplicity 2)